The following is a GGA-PBE calculation of a geometry-optimized LiY2Au7 structure, from Alexandria.

Lattice parameters (Å, degrees): 6.815 6.815 6.815 60.00 60.00 60.00
Atoms (fractional coordinates):
Li1 0.000 0.000 0.000
Y1 0.250 0.250 0.250
Y2 0.750 0.750 0.750
Au1 0.500 0.500 0.500
Au2 0.230 0.770 0.770
Au3 0.230 0.770 0.230
Au4 0.770 0.230 0.770
Au5 0.770 0.770 0.230
Au6 0.230 0.230 0.770
Au7 0.770 0.230 0.230

Computed properties:
DFT formation energy in eV/atom: -0.130

=====

The following is a GGA-PBE calculation of a geometry-optimized TaTi2Cu structure, from Alexandria.

Lattice parameters (Å, degrees): 4.477 4.477 4.477 60.00 60.00 60.00
Atoms (fractional coordinates):
Ti1 0.250 0.250 0.250
Ti2 0.750 0.750 0.750
Cu1 0.000 0.000 0.000
Ta1 0.500 0.500 0.500

Computed properties:
Polymorph energy (0 for the lowest one) in kcal/mol of atoms: 2.11
DFT formation energy in eV/atom: 0.080

=====

The following is a GGA-PBE calculation of a geometry-optimized Pm3YHg4 structure, from Alexandria.

Lattice parameters (Å, degrees): 3.781 3.781 15.256 90.00 90.00 90.00
Last column: magnetic moment on the atom in μB.
Atoms (fractional coordinates):
Y1 0.500 0.500 0.000  0.10
Hg1 0.000 0.000 0.882  0.02
Hg2 0.000 0.000 0.118  0.02
Hg3 0.000 0.000 0.374  0.02
Hg4 0.000 0.000 0.626  0.02
Pm1 0.500 0.500 0.247  0.22
Pm2 0.500 0.500 0.500  0.21
Pm3 0.500 0.500 0.753  0.22

Computed properties:
DFT formation energy in eV/atom: -0.481